Record 1
CaMnHg2: optimized geometry, PBE-GGA.

Cell lengths 4.7636, 4.7636, 10.2198 Å; angles 76.52, 76.52, 90.00 degrees
Closest atoms and distances in Å follow each position.
Sites, in units of the cell vectors:
Ca  0.5000  0.5000  0.0000  4 Hg 3.06, 4 Mn 3.37
Ca  0.2500  0.7500  0.5000  4 Hg 3.06, 4 Mn 3.37
Mn  0.0000  0.0000  0.0000  4 Hg 2.84
Mn  0.7500  0.2500  0.5000  4 Hg 2.84
Hg  0.0668  0.6250  0.2500  2 Mn 2.84, 2 Hg 3.00, 2 Ca 3.06
Hg  0.3750  0.3168  0.7500  2 Mn 2.84, 2 Hg 3.00, 2 Ca 3.06
Hg  0.6832  0.1250  0.2500  2 Mn 2.84, 2 Hg 3.00, 2 Ca 3.06
Hg  0.8750  0.9332  0.7500  2 Mn 2.84, 2 Hg 3.00, 2 Ca 3.06

Space-group type: I-42d, No. 122
Energy: -22.01 eV/cell


Record 2
Ca2MnHg: optimized geometry, PBE-GGA.

Cell lengths 3.7624, 3.7896, 8.2724 Å; angles 62.75, 90.00, 90.00 degrees
Closest atoms and distances in Å follow each position.
Sites, in units of the cell vectors:
Hg  0.5000  0.2500  0.2500  8 Ca 3.26
Ca  0.0000  0.0036  0.9963  4 Mn 3.23, 4 Hg 3.26
Ca  0.0000  0.4964  0.5037  4 Mn 3.23, 4 Hg 3.26
Mn  0.5000  0.7500  0.7500  8 Ca 3.23

Space-group type: Pmmm, No. 47
Energy: -13.47 eV/cell


Record 3
Ca2MnHgN: optimized geometry, PBE-GGA.

Cell lengths 5.1140, 5.1140, 3.8490 Å; angles 90.00, 90.00, 90.00 degrees
Closest atoms and distances in Å follow each position.
Sites, in units of the cell vectors:
Ca  0.0000  0.5000  0.0000  2 N 2.56
Ca  0.5000  0.0000  0.0000  2 N 2.56
Hg  0.5000  0.5000  0.5000  8 Ca 3.20
N  0.0000  0.0000  0.0000  2 Mn 1.92
Mn  0.0000  0.0000  0.5000  2 N 1.92

Space-group type: P4/mmm, No. 123
ΔE_f (raw): -252 kJ/mol of formula units
Energy: -24.41 eV/cell


Record 4
CaMnSi2Hg: optimized geometry, PBE-GGA.

Cell lengths 4.4317, 5.1323, 4.4317 Å; angles 90.00, 90.00, 90.00 degrees
Closest atoms and distances in Å follow each position.
Sites, in units of the cell vectors:
Si  0.5000  0.0000  0.0000  2 Mn 2.22
Si  0.0000  0.0000  0.5000  2 Mn 2.22
Hg  0.0000  0.5000  0.0000  2 Mn 2.57
Ca  0.5000  0.5000  0.5000  4 Hg 3.13, 8 Si 3.39
Mn  0.0000  0.0000  0.0000  4 Si 2.22

Space-group type: P4/mmm, No. 123
ΔE_f (raw): -24 kJ/mol of formula units
Energy: -22.57 eV/cell


Record 5
SrCaMnHg2: optimized geometry, PBE-GGA.

Cell lengths 5.8507, 5.5921, 5.8507 Å; angles 90.00, 90.00, 90.00 degrees
Closest atoms and distances in Å follow each position.
Sites, in units of the cell vectors:
Hg  0.5000  0.0000  0.0000  2 Sr 2.93
Hg  0.0000  0.0000  0.5000  2 Sr 2.93
Sr  0.0000  0.0000  0.0000  2 Mn 2.80, 4 Hg 2.93
Mn  0.0000  0.5000  0.0000  2 Sr 2.80
Ca  0.5000  0.5000  0.5000  8 Hg 4.05, 4 Mn 4.14

Space-group type: P4/mmm, No. 123
Energy: -10.32 eV/cell


Record 6
CaMnTc2Hg: optimized geometry, PBE-GGA.

Cell lengths 5.0637, 5.2848, 5.0637 Å; angles 90.00, 90.00, 90.00 degrees
Closest atoms and distances in Å follow each position.
Sites, in units of the cell vectors:
Tc  0.0000  0.0000  0.5000  2 Hg 2.53
Tc  0.5000  0.0000  0.0000  2 Hg 2.53
Hg  0.0000  0.0000  0.0000  4 Tc 2.53, 2 Ca 2.64
Ca  0.0000  0.5000  0.0000  2 Hg 2.64
Mn  0.5000  0.5000  0.5000  4 Ca 3.58, 8 Tc 3.66

Space-group type: P4/mmm, No. 123
Energy: -20.59 eV/cell


Record 7
Ca2HgMo: optimized geometry, PBE-GGA.

Cell lengths 6.2908, 6.2908, 6.2908 Å; angles 145.64, 131.76, 60.56 degrees
Closest atoms and distances in Å follow each position.
Sites, in units of the cell vectors:
Ca  0.7291  0.2291  0.5000  4 Mo 3.22, 2 Hg 3.32, 2 Ca 3.47
Ca  0.0150  0.0150  0.0000  4 Hg 3.20, 2 Mo 3.42, 2 Ca 3.47
Hg  0.4764  0.4764  0.0000  2 Mo 2.83
Mo  0.2795  0.7795  0.5000  2 Hg 2.83

Space-group type: Imm2, No. 44
Energy: -13.54 eV/cell


Record 8
Ca2HgMo: optimized geometry, PBE-GGA.

Cell lengths 3.1387, 3.1386, 9.6946 Å; angles 90.00, 90.00, 90.07 degrees
Closest atoms and distances in Å follow each position.
Sites, in units of the cell vectors:
Hg  0.5000  0.5000  0.2500  4 Hg 3.14, 8 Ca 3.35
Mo  0.5000  0.5000  0.7500  4 Mo 3.14, 8 Ca 3.22
Ca  0.0000  0.0000  0.9906  4 Ca 3.14, 4 Mo 3.22, 4 Hg 3.35
Ca  0.0000  0.0000  0.5094  4 Ca 3.14, 4 Mo 3.22, 4 Hg 3.35

Space-group type: P4/mmm, No. 123
Energy: -13.74 eV/cell